[1]
This record from Alexandria via LeMat-Bulk describes a relaxed structure of KIrW2. The functional is PBE.

Results
- Space group: No. 123
- Calculated formation energy: 99 kJ per mole of atoms
- E above lowest polymorph: 1.50 eV per formula unit

Geometry as extended XYZ:
```
4
Lattice="3.409 0.000 0.000 0.000 3.409 0.000 0.000 0.000 8.168" Properties=species:S:1:pos:R:3 pbc="T T T"
K 0.000 0.000 0.000
Ir 0.000 0.000 4.084
W 1.704 1.704 2.913
W 1.704 1.704 5.256
```

[2]
This record from Alexandria via LeMat-Bulk describes a relaxed structure of Zn8Ga2Tc. The functional is PBE.

Results
- Space group: No. 12
- Calculated formation energy: 8 kJ per mole of atoms

Geometry as extended XYZ:
```
11
Lattice="5.041 -4.589 0.000 5.041 4.589 0.000 -1.036 0.000 4.280" Properties=species:S:1:pos:R:3 pbc="T T T"
Zn 0.370 0.000 1.240
Zn 2.753 2.238 4.223
Zn 1.255 0.000 3.652
Zn 6.292 2.238 0.057
Zn 2.753 -2.238 4.223
Zn 7.791 0.000 0.628
Zn 6.292 -2.238 0.057
Zn 8.675 0.000 3.040
Ga 3.223 0.000 1.865
Ga 5.822 0.000 2.415
Tc 5.041 0.000 0.000
```

[3]
This record from Alexandria via LeMat-Bulk describes a relaxed structure of CeCdCo. The functional is PBE.

Results
- Space group: No. 11
- Calculated formation energy: -14 kJ per mole of atoms

Geometry as extended XYZ:
```
6
Lattice="4.662 0.000 0.000 0.000 4.678 0.000 -2.123 0.000 6.402" Properties=species:S:1:pos:R:3 pbc="T T T"
Ce 0.061 1.170 2.373
Ce 2.478 3.509 4.030
Cd 0.213 1.170 5.614
Cd 2.327 3.509 0.788
Co 0.034 3.509 4.374
Co 2.505 1.170 2.028
```

[4]
This record from Alexandria via LeMat-Bulk describes a relaxed structure of ZrZn. The functional is PBE.

Results
- Space group: No. 194
- Calculated formation energy: 72 kJ per mole of atoms

Geometry as extended XYZ:
```
4
Lattice="4.651 0.000 0.000 -2.325 4.028 0.000 0.000 0.000 5.447" Properties=species:S:1:pos:R:3 pbc="T T T"
Zr 0.000 2.685 1.362
Zr 2.325 1.343 4.085
Zn 0.000 2.685 4.085
Zn 2.325 1.343 1.362
```

[5]
This record from Alexandria via LeMat-Bulk describes a relaxed structure of TaCo3Hg. The functional is PBE.

Results
- Space group: No. 221
- Calculated formation energy: 186 kJ per mole of atoms
- E above lowest polymorph: 3.11 eV per formula unit

Geometry as extended XYZ:
```
5
Lattice="4.606 0.000 0.000 0.000 4.606 0.000 0.000 0.000 4.606" Properties=species:S:1:pos:R:3 pbc="T T T"
Ta 0.000 0.000 0.000
Co 0.000 2.303 2.303
Co 2.303 0.000 2.303
Co 2.303 2.303 0.000
Hg 2.303 2.303 2.303
```

[6]
This record from Alexandria via LeMat-Bulk describes a relaxed structure of DyEr3Pu2Te6. The functional is PBE.

Results
- Uncorrected formation energy: -1.2095 eV per atom
- Space group: No. 12

Geometry as extended XYZ:
```
12
Lattice="9.524 -2.169 0.000 9.524 2.169 0.000 -2.090 0.000 8.510" Properties=species:S:1:pos:R:3 pbc="T T T"
Dy 0.000 0.000 0.000
Er -1.045 0.000 4.255
Er 5.977 0.000 1.412
Er 10.980 0.000 7.098
Pu 4.970 0.000 5.680
Pu 11.987 0.000 2.831
Te 1.917 0.000 5.000
Te 3.011 0.000 0.661
Te 8.945 0.000 2.133
Te 8.012 0.000 6.377
Te 13.946 0.000 7.849
Te 15.040 0.000 3.510
```

M_tot values, unit μB/f.u., following the record order: 0.971 0.000 0.000 0.175 3.532 12.092.
Electronic total energy values, unit eV for the cell shown, following the record order: -31.7 -25.7 -28.8 -16.7 -23.8 -80.3.
N(E_F) values, unit states/eV/cell, following the record order: 4.4 3.5 7.1 8.4 6.6 22.5.